Computed, not measured: an optimized crystal structure of HfCu3Br at the PBE level of DFT.

Geometry as CIF:
```
data_HfCu3Br
_space_group_name_H-M_alt 'P m -3 m'
_space_group_IT_number 221
_space_group_name_Hall '-P 4 2 3'
_cell_length_a 5.030
_cell_length_b 5.030
_cell_length_c 5.030
_cell_angle_alpha 90.00
_cell_angle_beta 90.00
_cell_angle_gamma 90.00
loop_
_atom_site_label
_atom_site_type_symbol
_atom_site_fract_x
_atom_site_fract_y
_atom_site_fract_z
Hf1 Hf 0.000 0.000 0.000
Cu1 Cu 0.000 0.000 0.500
Br1 Br 0.500 0.500 0.500
```

Properties
Uncorrected energy = -17.93 eV for the cell shown
Raw formation energy = 578 kJ/mol of formula units
Total magnetization = 0.000 μB/f.u.
Energy relative to the lowest polymorph listed for this composition = 99.2 meV per atom